(one)
The following is a DFT calculation (GGA-PBE) of a relaxed structure of PRuPtO2.

CIF file:
```
data_PRuPtO2
_chemical_formula_sum 'P1 Ru1 Pt1 O2'
_cell_length_a 3.651
_cell_length_b 3.651
_cell_length_c 6.979
_cell_angle_alpha 90.00
_cell_angle_beta 90.00
_cell_angle_gamma 90.00
_space_group_name_H-M_alt 'P 4/m m m'
_space_group_IT_number 123
_space_group_name_Hall '-P 4 2'
loop_
_atom_site_label
_atom_site_fract_x
_atom_site_fract_y
_atom_site_fract_z
P1 0.000 0.000 0.000
Ru1 0.500 0.500 0.000
Pt1 0.000 0.000 0.500
O1 0.000 0.500 0.500
```

=====

(two)
The following is a DFT calculation (GGA-PBE) of a relaxed structure of PRuPtO2.

CIF file:
```
data_PRuPtO2
_chemical_formula_sum 'P1 Ru1 Pt1 O2'
_cell_length_a 3.637
_cell_length_b 3.637
_cell_length_c 5.671
_cell_angle_alpha 90.00
_cell_angle_beta 90.00
_cell_angle_gamma 90.00
_space_group_name_H-M_alt 'P 4/m m m'
_space_group_IT_number 123
_space_group_name_Hall '-P 4 2'
loop_
_atom_site_label
_atom_site_fract_x
_atom_site_fract_y
_atom_site_fract_z
P1 0.000 0.000 0.000
Ru1 0.000 0.000 0.500
Pt1 0.500 0.500 0.000
O1 0.000 0.500 0.500
```

=====

Which structure is the least stable? The one labeled (one).

=====

(one)
The following is a DFT calculation (GGA-PBE) of a relaxed structure of P2RuPtO.

CIF file:
```
data_P2RuPtO
_chemical_formula_sum 'P2 Ru1 Pt1 O1'
_cell_length_a 4.700
_cell_length_b 4.700
_cell_length_c 3.596
_cell_angle_alpha 90.00
_cell_angle_beta 90.00
_cell_angle_gamma 90.00
_space_group_name_H-M_alt 'P 4/m m m'
_space_group_IT_number 123
_space_group_name_Hall '-P 4 2'
loop_
_atom_site_label
_atom_site_fract_x
_atom_site_fract_y
_atom_site_fract_z
P1 0.000 0.500 0.000
Ru1 0.000 0.000 0.000
Pt1 0.500 0.500 0.500
O1 0.000 0.000 0.500
```

=====

(two)
The following is a DFT calculation (GGA-PBE) of a relaxed structure of P2RuPtO.

CIF file:
```
data_P2RuPtO
_chemical_formula_sum 'P2 Ru1 Pt1 O1'
_cell_length_a 4.759
_cell_length_b 4.759
_cell_length_c 3.650
_cell_angle_alpha 90.00
_cell_angle_beta 90.00
_cell_angle_gamma 90.00
_space_group_name_H-M_alt 'P 4/m m m'
_space_group_IT_number 123
_space_group_name_Hall '-P 4 2'
loop_
_atom_site_label
_atom_site_fract_x
_atom_site_fract_y
_atom_site_fract_z
P1 0.000 0.500 0.000
Ru1 0.000 0.000 0.500
Pt1 0.500 0.500 0.000
O1 0.500 0.500 0.500
```

=====

Which structure is the least stable? The one labeled (two).

=====

(one)
The following is a DFT calculation (GGA-PBE) of a relaxed structure of SbPPtO2.

CIF file:
```
data_SbPPtO2
_chemical_formula_sum 'Sb1 P1 Pt1 O2'
_cell_length_a 3.792
_cell_length_b 3.792
_cell_length_c 5.686
_cell_angle_alpha 90.00
_cell_angle_beta 90.00
_cell_angle_gamma 90.00
_space_group_name_H-M_alt 'P 4/m m m'
_space_group_IT_number 123
_space_group_name_Hall '-P 4 2'
loop_
_atom_site_label
_atom_site_fract_x
_atom_site_fract_y
_atom_site_fract_z
Sb1 0.000 0.000 0.000
P1 0.000 0.000 0.500
Pt1 0.500 0.500 0.500
O1 0.000 0.500 0.000
```

=====

(two)
The following is a DFT calculation (GGA-PBE) of a relaxed structure of SbPPtO2.

CIF file:
```
data_SbPPtO2
_chemical_formula_sum 'Sb1 P1 Pt1 O2'
_cell_length_a 4.006
_cell_length_b 4.006
_cell_length_c 4.856
_cell_angle_alpha 90.00
_cell_angle_beta 90.00
_cell_angle_gamma 90.00
_space_group_name_H-M_alt 'P 4/m m m'
_space_group_IT_number 123
_space_group_name_Hall '-P 4 2'
loop_
_atom_site_label
_atom_site_fract_x
_atom_site_fract_y
_atom_site_fract_z
Sb1 0.000 0.000 0.000
P1 0.500 0.500 0.000
Pt1 0.500 0.500 0.500
O1 0.000 0.500 0.500
```

=====

Which structure is the least stable? The one labeled (two).

=====

(one)
The following is a DFT calculation (GGA-PBE) of a relaxed structure of ScP2PtO.

CIF file:
```
data_ScP2PtO
_chemical_formula_sum 'Sc1 P2 Pt1 O1'
_cell_length_a 4.839
_cell_length_b 4.839
_cell_length_c 3.802
_cell_angle_alpha 90.00
_cell_angle_beta 90.00
_cell_angle_gamma 90.00
_space_group_name_H-M_alt 'P 4/m m m'
_space_group_IT_number 123
_space_group_name_Hall '-P 4 2'
loop_
_atom_site_label
_atom_site_fract_x
_atom_site_fract_y
_atom_site_fract_z
Sc1 0.000 0.000 0.000
P1 0.000 0.500 0.500
Pt1 0.500 0.500 0.500
O1 0.500 0.500 0.000
```

=====

(two)
The following is a DFT calculation (GGA-PBE) of a relaxed structure of ScP2PtO.

CIF file:
```
data_ScP2PtO
_chemical_formula_sum 'Sc1 P2 Pt1 O1'
_cell_length_a 5.037
_cell_length_b 5.037
_cell_length_c 3.758
_cell_angle_alpha 90.00
_cell_angle_beta 90.00
_cell_angle_gamma 90.00
_space_group_name_H-M_alt 'P 4/m m m'
_space_group_IT_number 123
_space_group_name_Hall '-P 4 2'
loop_
_atom_site_label
_atom_site_fract_x
_atom_site_fract_y
_atom_site_fract_z
Sc1 0.000 0.000 0.000
P1 0.000 0.500 0.000
Pt1 0.500 0.500 0.500
O1 0.000 0.000 0.500
```

=====

Which structure is the least stable? The one labeled (two).

=====

(one)
The following is a DFT calculation (GGA-PBE) of a relaxed structure of ScPPtO2.

CIF file:
```
data_ScPPtO2
_chemical_formula_sum 'Sc1 P1 Pt1 O2'
_cell_length_a 3.787
_cell_length_b 3.787
_cell_length_c 7.334
_cell_angle_alpha 90.00
_cell_angle_beta 90.00
_cell_angle_gamma 90.00
_space_group_name_H-M_alt 'P 4/m m m'
_space_group_IT_number 123
_space_group_name_Hall '-P 4 2'
loop_
_atom_site_label
_atom_site_fract_x
_atom_site_fract_y
_atom_site_fract_z
Sc1 0.000 0.000 0.000
P1 0.000 0.000 0.500
Pt1 0.500 0.500 0.500
O1 0.000 0.500 0.000
```

=====

(two)
The following is a DFT calculation (GGA-PBE) of a relaxed structure of ScPPtO2.

CIF file:
```
data_ScPPtO2
_chemical_formula_sum 'Sc1 P1 Pt1 O2'
_cell_length_a 3.943
_cell_length_b 3.943
_cell_length_c 4.887
_cell_angle_alpha 90.00
_cell_angle_beta 90.00
_cell_angle_gamma 90.00
_space_group_name_H-M_alt 'P 4/m m m'
_space_group_IT_number 123
_space_group_name_Hall '-P 4 2'
loop_
_atom_site_label
_atom_site_fract_x
_atom_site_fract_y
_atom_site_fract_z
Sc1 0.000 0.000 0.000
P1 0.500 0.500 0.000
Pt1 0.500 0.500 0.500
O1 0.000 0.500 0.500
```

=====

Which structure is the least stable? The one labeled (two).

=====

(one)
The following is a DFT calculation (GGA-PBE) of a relaxed structure of SiPPtO2.

CIF file:
```
data_SiPPtO2
_chemical_formula_sum 'Si1 P1 Pt1 O2'
_cell_length_a 3.856
_cell_length_b 3.856
_cell_length_c 5.028
_cell_angle_alpha 90.00
_cell_angle_beta 90.00
_cell_angle_gamma 90.00
_space_group_name_H-M_alt 'P 4/m m m'
_space_group_IT_number 123
_space_group_name_Hall '-P 4 2'
loop_
_atom_site_label
_atom_site_fract_x
_atom_site_fract_y
_atom_site_fract_z
Si1 0.000 0.000 0.000
P1 0.500 0.500 0.000
Pt1 0.500 0.500 0.500
O1 0.000 0.500 0.500
```

=====

(two)
The following is a DFT calculation (GGA-PBE) of a relaxed structure of SiPPtO2.

CIF file:
```
data_SiPPtO2
_chemical_formula_sum 'Si1 P1 Pt1 O2'
_cell_length_a 3.341
_cell_length_b 3.341
_cell_length_c 7.376
_cell_angle_alpha 90.00
_cell_angle_beta 90.00
_cell_angle_gamma 90.00
_space_group_name_H-M_alt 'P 4/m m m'
_space_group_IT_number 123
_space_group_name_Hall '-P 4 2'
loop_
_atom_site_label
_atom_site_fract_x
_atom_site_fract_y
_atom_site_fract_z
Si1 0.000 0.000 0.000
P1 0.000 0.000 0.500
Pt1 0.500 0.500 0.500
O1 0.000 0.500 0.000
```

=====

Which structure is the least stable? The one labeled (one).

=====

(one)
The following is a DFT calculation (GGA-PBE) of a relaxed structure of SnP2PtO.

CIF file:
```
data_SnP2PtO
_chemical_formula_sum 'Sn1 P2 Pt1 O1'
_cell_length_a 5.056
_cell_length_b 5.056
_cell_length_c 3.803
_cell_angle_alpha 90.00
_cell_angle_beta 90.00
_cell_angle_gamma 90.00
_space_group_name_H-M_alt 'P 4/m m m'
_space_group_IT_number 123
_space_group_name_Hall '-P 4 2'
loop_
_atom_site_label
_atom_site_fract_x
_atom_site_fract_y
_atom_site_fract_z
Sn1 0.000 0.000 0.000
P1 0.000 0.500 0.000
Pt1 0.500 0.500 0.500
O1 0.000 0.000 0.500
```

=====

(two)
The following is a DFT calculation (GGA-PBE) of a relaxed structure of SnP2PtO.

CIF file:
```
data_SnP2PtO
_chemical_formula_sum 'Sn1 P2 Pt1 O1'
_cell_length_a 4.903
_cell_length_b 4.903
_cell_length_c 3.834
_cell_angle_alpha 90.00
_cell_angle_beta 90.00
_cell_angle_gamma 90.00
_space_group_name_H-M_alt 'P 4/m m m'
_space_group_IT_number 123
_space_group_name_Hall '-P 4 2'
loop_
_atom_site_label
_atom_site_fract_x
_atom_site_fract_y
_atom_site_fract_z
Sn1 0.000 0.000 0.000
P1 0.000 0.500 0.500
Pt1 0.500 0.500 0.500
O1 0.500 0.500 0.000
```

=====

Which structure is the least stable? The one labeled (one).

=====

(one)
The following is a DFT calculation (GGA-PBE) of a relaxed structure of SnPPtO2.

CIF file:
```
data_SnPPtO2
_chemical_formula_sum 'Sn1 P1 Pt1 O2'
_cell_length_a 3.775
_cell_length_b 3.775
_cell_length_c 6.676
_cell_angle_alpha 90.00
_cell_angle_beta 90.00
_cell_angle_gamma 90.00
_space_group_name_H-M_alt 'P 4/m m m'
_space_group_IT_number 123
_space_group_name_Hall '-P 4 2'
loop_
_atom_site_label
_atom_site_fract_x
_atom_site_fract_y
_atom_site_fract_z
Sn1 0.000 0.000 0.000
P1 0.000 0.000 0.500
Pt1 0.500 0.500 0.500
O1 0.000 0.500 0.000
```

=====

(two)
The following is a DFT calculation (GGA-PBE) of a relaxed structure of SnPPtO2.

CIF file:
```
data_SnPPtO2
_chemical_formula_sum 'Sn1 P1 Pt1 O2'
_cell_length_a 3.995
_cell_length_b 3.995
_cell_length_c 4.929
_cell_angle_alpha 90.00
_cell_angle_beta 90.00
_cell_angle_gamma 90.00
_space_group_name_H-M_alt 'P 4/m m m'
_space_group_IT_number 123
_space_group_name_Hall '-P 4 2'
loop_
_atom_site_label
_atom_site_fract_x
_atom_site_fract_y
_atom_site_fract_z
Sn1 0.000 0.000 0.000
P1 0.500 0.500 0.000
Pt1 0.500 0.500 0.500
O1 0.000 0.500 0.500
```

=====

Which structure is the least stable? The one labeled (one).